No. 1
Here is a relaxed structure of Sr2ScBe from the Alexandria database. Energies are from GGA-PBE.

a b c (Å): 10.762 10.762 10.762
angles (deg): 20.61 20.61 20.61
Element x y z (fractional)
Sc: 0.750 0.750 0.750
Sr: 0.987 0.987 0.987
Sr: 0.513 0.513 0.513
Be: 0.250 0.250 0.250

Results
Energy of formation, eV/atom: 0.64
Size of the total moment, μB per cell: 0.8
ρ, g cm⁻³: 2.81

---

No. 2
Here is a relaxed structure of Be2H6N from the Alexandria database. Energies are from GGA-PBE.

a b c (Å): 3.899 3.899 3.899
angles (deg): 60.00 60.00 60.00
Element x y z (fractional)
Be: 0.750 0.750 0.750
Be: 0.250 0.250 0.250
H: 0.320 0.680 0.680
H: 0.680 0.680 0.320
H: 0.680 0.320 0.680
H: 0.680 0.320 0.320
H: 0.320 0.320 0.680
H: 0.320 0.680 0.320
N: 0.000 0.000 0.000

Results
Raw total energy, eV per atom: -2.856
Size of the total moment, μB per cell: 0.0
ρ, g cm⁻³: 1.51

---

No. 3
Here is a relaxed structure of BMoRhSe2 from the Alexandria database. Energies are from GGA-PBE.

a b c (Å): 4.876 4.115 4.876
angles (deg): 90.00 90.00 90.00
Element x y z (fractional)
Mo: 0.000 0.000 0.000
B: 0.000 0.500 0.000
Rh: 0.500 0.500 0.500
Se: 0.000 0.000 0.500
Se: 0.500 0.000 0.000

Results
Raw total energy, eV per atom: -5.370
Size of the total moment, μB per cell: 0.0
ρ, g cm⁻³: 6.24

---

The highest size of the total moment belongs to which entry? Sr2ScBe